Entry 1:
## AcLa3Sm5 (GGA-PBE)

Data for a geometry-optimized AcLa3Sm5 structure.

Properties
Formation enthalpy at 0 K: 296 meV/atom
Space group: C2/m (12)

a = 7.0976 Å, b = 7.0976 Å, c = 14.3622 Å
α = 86.24°, β = 86.24°, γ = 71.52°
Atoms (fractional coordinates):
Ac  0.0342  0.0342  0.7499
Ac  0.9658  0.9658  0.2501
La  0.7659  0.7659  0.8852
La  0.6395  0.6395  0.5000
La  0.0000  0.0000  0.0000
La  0.0000  0.0000  0.5000
La  0.2341  0.2341  0.1148
La  0.3605  0.3605  0.5000
Sm  0.0032  0.4410  0.3310
Sm  0.3237  0.6763  0.0000
Sm  0.7361  0.7361  0.1166
Sm  0.4887  0.4887  0.2551
Sm  0.5113  0.5113  0.7449
Sm  0.2639  0.2639  0.8834
Sm  0.4410  0.0032  0.3310
Sm  0.6763  0.3237  0.0000
Sm  0.9968  0.5589  0.6690
Sm  0.5589  0.9968  0.6690



Entry 2:
## UNiGePt (GGA-PBE)

Data for a geometry-optimized UNiGePt structure.

Properties
Formation enthalpy at 0 K: -209 meV/atom
Space group: F-43m (216)

a = 4.5841 Å, b = 4.5841 Å, c = 4.5841 Å
α = 60.00°, β = 60.00°, γ = 60.00°
Site moments in Bohr magnetons follow the coordinates.
Atoms (fractional coordinates):
Ni  0.7500  0.7500  0.7500  -0.20
Ge  0.2500  0.2500  0.2500  0.03
U  0.0000  0.0000  0.0000  1.71
Pt  0.5000  0.5000  0.5000  0.01



Entry 3:
## PmTmSiAg (GGA-PBE)

Data for a geometry-optimized PmTmSiAg structure.

Properties
Space group: F-43m (216)
Raw formation energy: -0.4210 eV per atom

a = 5.0839 Å, b = 5.0839 Å, c = 5.0839 Å
α = 60.00°, β = 60.00°, γ = 60.00°
Atoms (fractional coordinates):
Si  0.7500  0.7500  0.7500
Tm  0.5000  0.5000  0.5000
Ag  0.2500  0.2500  0.2500
Pm  0.0000  0.0000  0.0000



Entry 4:
## BaSiI2O (GGA-PBE)

Data for a geometry-optimized BaSiI2O structure.

Properties
Relative energy among the computed polymorphs: 4.26 eV per formula unit
Space group: P4/mmm (123)
Raw formation energy: -0.1429 eV per atom

a = 6.7378 Å, b = 6.7378 Å, c = 4.4784 Å
α = 90.00°, β = 90.00°, γ = 90.00°
Site moments in Bohr magnetons follow the coordinates.
Atoms (fractional coordinates):
I  0.0000  0.5000  0.0000  -0.03
I  0.5000  0.0000  0.0000  -0.03
Si  0.5000  0.5000  0.5000  0.26
Ba  0.0000  0.0000  0.0000  0.00
O  0.0000  0.0000  0.5000  0.00



Entry 5:
## NiOs (GGA-PBE)

Data for a geometry-optimized NiOs structure.

Properties
Formation enthalpy at 0 K: 107 meV/atom
Space group: C2/m (12)

a = 2.6517 Å, b = 4.5645 Å, c = 4.4685 Å
α = 99.82°, β = 90.00°, γ = 106.89°
Atoms (fractional coordinates):
Ni  0.2507  0.5013  0.7631
Ni  0.9993  0.9987  0.9869
Os  0.5003  0.0007  0.4931
Os  0.7497  0.4993  0.2569



Entry 6:
## Ba3AlCd (GGA-PBE)

Data for a geometry-optimized Ba3AlCd structure.

Properties
Formation enthalpy at 0 K: 175 meV/atom
Relative energy among the computed polymorphs: 0.00 eV per formula unit
Space group: Pm-3m (221)

a = 6.5679 Å, b = 6.5679 Å, c = 6.5679 Å
α = 90.00°, β = 90.00°, γ = 90.00°
Site moments in Bohr magnetons follow the coordinates.
Atoms (fractional coordinates):
Al  0.0000  0.0000  0.0000  0.06
Ba  0.0000  0.5000  0.0000  0.09
Ba  0.0000  0.0000  0.5000  0.07
Ba  0.5000  0.0000  0.0000  0.10
Cd  0.5000  0.5000  0.5000  0.02



Number 1: volume 683.95 Å³/cell. Number 2: volume 68.12 Å³/cell. Number 3: volume 92.91 Å³/cell. Number 4: volume 203.31 Å³/cell. Number 5: volume 50.93 Å³/cell. Number 6: volume 283.32 Å³/cell.